HgPH3 | SCAN | PBEsol geometry

The calculation puts the density of states at the Fermi level at 0.312 states/eV per atom. As for the total DFT energy (no corrections): -17.16 eV per atom.

Cell lengths 3.6705, 3.6705, 3.6705 Å; angles 90.00, 90.00, 90.00 degrees
Space group Pm-3m (No. 221)
Symmetry-distinct sites (fractional):
Hg  0.0000  0.0000  0.0000 (multiplicity 1)
P  0.5000  0.5000  0.5000 (multiplicity 1)
H  0.0000  0.5000  0.5000 (multiplicity 3)